<a>
First-principles (GGA-PBE) data for a relaxed SrLiZnCd2 crystal, as listed in Alexandria.

Computed properties:
Magnetization: 0.00 μB per formula unit
Calculated density: 4.8 g/cm³

The structure in CIF format:
```
data_SrLiZnCd2
_cell_length_a 5.123
_cell_length_b 5.123
_cell_length_c 5.060
_cell_angle_alpha 90.00
_cell_angle_beta 90.00
_cell_angle_gamma 90.00
_space_group_name_H-M_alt 'P 1'
_space_group_IT_number 1
_space_group_name_Hall 'P 1'
loop_
_atom_site_label
_atom_site_type_symbol
_atom_site_fract_x
_atom_site_fract_y
_atom_site_fract_z
Sr1 Sr 0.000 0.000 0.000
Li1 Li 0.500 0.500 0.000
Zn1 Zn 0.500 0.500 0.500
Cd1 Cd 0.000 0.500 0.500
Cd2 Cd 0.500 0.000 0.500
```


<b>
First-principles (GGA-PBE) data for a relaxed SrLiZnCd2 crystal, as listed in Alexandria.

Computed properties:
Magnetization: 0.00 μB per formula unit
Calculated density: 5.1 g/cm³

The structure in CIF format:
```
data_SrLiZnCd2
_cell_length_a 5.032
_cell_length_b 5.032
_cell_length_c 4.907
_cell_angle_alpha 90.00
_cell_angle_beta 90.00
_cell_angle_gamma 90.00
_space_group_name_H-M_alt 'P 1'
_space_group_IT_number 1
_space_group_name_Hall 'P 1'
loop_
_atom_site_label
_atom_site_type_symbol
_atom_site_fract_x
_atom_site_fract_y
_atom_site_fract_z
Sr1 Sr 0.000 0.000 0.000
Li1 Li 0.500 0.500 0.500
Zn1 Zn 0.500 0.500 0.000
Cd1 Cd 0.000 0.500 0.500
Cd2 Cd 0.500 0.000 0.500
```


What should be chosen as the most stable of them? Choose <b>.


<a>
First-principles (GGA-PBE) data for a relaxed SrLi2ZnCd crystal, as listed in Alexandria.

Computed properties:
Magnetization: 0.00 μB per formula unit
Calculated density: 3.6 g/cm³

The structure in CIF format:
```
data_SrLi2ZnCd
_cell_length_a 5.069
_cell_length_b 5.069
_cell_length_c 5.059
_cell_angle_alpha 90.00
_cell_angle_beta 90.00
_cell_angle_gamma 90.00
_space_group_name_H-M_alt 'P 1'
_space_group_IT_number 1
_space_group_name_Hall 'P 1'
loop_
_atom_site_label
_atom_site_type_symbol
_atom_site_fract_x
_atom_site_fract_y
_atom_site_fract_z
Sr1 Sr 0.000 0.000 0.000
Li1 Li 0.000 0.500 0.500
Li2 Li 0.500 0.000 0.500
Zn1 Zn 0.500 0.500 0.500
Cd1 Cd 0.500 0.500 0.000
```


<b>
First-principles (GGA-PBE) data for a relaxed SrLi2ZnCd crystal, as listed in Alexandria.

Computed properties:
Magnetization: 0.00 μB per formula unit
Calculated density: 3.5 g/cm³

The structure in CIF format:
```
data_SrLi2ZnCd
_cell_length_a 5.148
_cell_length_b 5.148
_cell_length_c 5.046
_cell_angle_alpha 90.00
_cell_angle_beta 90.00
_cell_angle_gamma 90.00
_space_group_name_H-M_alt 'P 1'
_space_group_IT_number 1
_space_group_name_Hall 'P 1'
loop_
_atom_site_label
_atom_site_type_symbol
_atom_site_fract_x
_atom_site_fract_y
_atom_site_fract_z
Sr1 Sr 0.000 0.000 0.000
Li1 Li 0.000 0.500 0.500
Li2 Li 0.500 0.000 0.500
Zn1 Zn 0.500 0.500 0.000
Cd1 Cd 0.500 0.500 0.500
```


What should be chosen as the most stable of them? Choose <a>.


<a>
First-principles (GGA-PBE) data for a relaxed LiTaCd crystal, as listed in Alexandria.

Computed properties:
Magnetization: 0.00 μB per formula unit
Calculated density: 9.0 g/cm³

The structure in CIF format:
```
data_LiTaCd
_cell_length_a 7.981
_cell_length_b 7.790
_cell_length_c 2.802
_cell_angle_alpha 83.63
_cell_angle_beta 75.95
_cell_angle_gamma 20.42
_space_group_name_H-M_alt 'P 1'
_space_group_IT_number 1
_space_group_name_Hall 'P 1'
loop_
_atom_site_label
_atom_site_type_symbol
_atom_site_fract_x
_atom_site_fract_y
_atom_site_fract_z
Li1 Li 0.000 0.000 0.000
Ta1 Ta 0.334 0.334 0.666
Cd1 Cd 0.660 0.660 0.340
```


<b>
First-principles (GGA-PBE) data for a relaxed LiTaCd crystal, as listed in Alexandria.

Computed properties:
Magnetization: 0.00 μB per formula unit
Calculated density: 9.2 g/cm³

The structure in CIF format:
```
data_LiTaCd
_cell_length_a 6.011
_cell_length_b 6.011
_cell_length_c 6.400
_cell_angle_alpha 108.43
_cell_angle_beta 108.43
_cell_angle_gamma 29.60
_space_group_name_H-M_alt 'P 1'
_space_group_IT_number 1
_space_group_name_Hall 'P 1'
loop_
_atom_site_label
_atom_site_type_symbol
_atom_site_fract_x
_atom_site_fract_y
_atom_site_fract_z
Li1 Li 0.000 0.000 0.000
Li2 Li 0.000 0.000 0.500
Ta1 Ta 0.325 0.325 0.654
Ta2 Ta 0.675 0.675 0.346
Cd1 Cd 0.355 0.355 0.172
Cd2 Cd 0.645 0.645 0.828
```


<c>
First-principles (GGA-PBE) data for a relaxed LiTaCd crystal, as listed in Alexandria.

Computed properties:
Magnetization: 0.00 μB per formula unit
Calculated density: 9.0 g/cm³

The structure in CIF format:
```
data_LiTaCd
_cell_length_a 5.294
_cell_length_b 5.294
_cell_length_c 7.735
_cell_angle_alpha 105.85
_cell_angle_beta 105.85
_cell_angle_gamma 32.07
_space_group_name_H-M_alt 'P 1'
_space_group_IT_number 1
_space_group_name_Hall 'P 1'
loop_
_atom_site_label
_atom_site_type_symbol
_atom_site_fract_x
_atom_site_fract_y
_atom_site_fract_z
Li1 Li 0.000 0.000 0.000
Li2 Li 0.666 0.666 0.338
Ta1 Ta 0.335 0.335 0.675
Ta2 Ta 0.617 0.617 0.730
Cd1 Cd 0.282 0.282 0.061
Cd2 Cd 0.945 0.945 0.394
```


What should be chosen as the most stable of them? Choose <c>.


<a>
First-principles (GGA-PBE) data for a relaxed LiTaCd crystal, as listed in Alexandria.

Computed properties:
Magnetization: 0.00 μB per formula unit
Calculated density: 9.5 g/cm³

The structure in CIF format:
```
data_LiTaCd
_cell_length_a 6.595
_cell_length_b 6.595
_cell_length_c 6.595
_cell_angle_alpha 154.60
_cell_angle_beta 154.60
_cell_angle_gamma 36.23
_space_group_name_H-M_alt 'P 1'
_space_group_IT_number 1
_space_group_name_Hall 'P 1'
loop_
_atom_site_label
_atom_site_type_symbol
_atom_site_fract_x
_atom_site_fract_y
_atom_site_fract_z
Li1 Li 0.000 0.000 0.000
Ta1 Ta 0.666 0.666 0.000
Cd1 Cd 0.347 0.347 0.000
```


<b>
First-principles (GGA-PBE) data for a relaxed LiTaCd crystal, as listed in Alexandria.

Computed properties:
Magnetization: 0.00 μB per formula unit
Calculated density: 9.1 g/cm³

The structure in CIF format:
```
data_LiTaCd
_cell_length_a 4.268
_cell_length_b 4.268
_cell_length_c 4.268
_cell_angle_alpha 60.00
_cell_angle_beta 60.00
_cell_angle_gamma 60.00
_space_group_name_H-M_alt 'P 1'
_space_group_IT_number 1
_space_group_name_Hall 'P 1'
loop_
_atom_site_label
_atom_site_type_symbol
_atom_site_fract_x
_atom_site_fract_y
_atom_site_fract_z
Li1 Li 0.000 0.000 0.000
Ta1 Ta 0.250 0.250 0.250
Cd1 Cd 0.750 0.750 0.750
```


<c>
First-principles (GGA-PBE) data for a relaxed LiTaCd crystal, as listed in Alexandria.

Computed properties:
Magnetization: 0.00 μB per formula unit
Calculated density: 8.8 g/cm³

The structure in CIF format:
```
data_LiTaCd
_cell_length_a 5.362
_cell_length_b 2.898
_cell_length_c 7.399
_cell_angle_alpha 90.00
_cell_angle_beta 98.63
_cell_angle_gamma 90.00
_space_group_name_H-M_alt 'P 1'
_space_group_IT_number 1
_space_group_name_Hall 'P 1'
loop_
_atom_site_label
_atom_site_type_symbol
_atom_site_fract_x
_atom_site_fract_y
_atom_site_fract_z
Li1 Li 0.242 0.250 0.007
Li2 Li 0.758 0.750 0.993
Ta1 Ta 0.017 0.250 0.348
Ta2 Ta 0.983 0.750 0.652
Cd1 Cd 0.488 0.250 0.689
Cd2 Cd 0.512 0.750 0.311
```


<d>
First-principles (GGA-PBE) data for a relaxed LiTaCd crystal, as listed in Alexandria.

Computed properties:
Magnetization: 0.00 μB per formula unit
Calculated density: 9.0 g/cm³

The structure in CIF format:
```
data_LiTaCd
_cell_length_a 5.103
_cell_length_b 2.989
_cell_length_c 7.594
_cell_angle_alpha 90.00
_cell_angle_beta 107.06
_cell_angle_gamma 90.00
_space_group_name_H-M_alt 'P 1'
_space_group_IT_number 1
_space_group_name_Hall 'P 1'
loop_
_atom_site_label
_atom_site_type_symbol
_atom_site_fract_x
_atom_site_fract_y
_atom_site_fract_z
Li1 Li 0.000 0.000 0.000
Li2 Li 0.243 0.000 0.635
Ta1 Ta 0.499 0.500 0.012
Ta2 Ta 0.632 0.000 0.321
Cd1 Cd 0.124 0.500 0.304
Cd2 Cd 0.771 0.500 0.694
```


What should be chosen as the most stable of them? Choose <c>.